{
  "formula": "SrCo2Te",
  "functional": "PBE-GGA",
  "state": "optimized geometry",
  "raw_formation_energy_ev_per_atom": 0.017,
  "lattice": [[4.288, 0.000, 0.000], [0.000, 4.646, 0.000], [0.000, 0.000, 4.925]],
  "species": ["Sr", "Co", "Co", "Te"],
  "frac_coords": [[0.000, 0.000, 0.000], [0.500, 0.500, 0.224], [0.500, 0.500, 0.776], [0.000, 0.500, 0.500]]
}

{
  "formula": "V2SiBH",
  "functional": "PBE-GGA",
  "state": "optimized geometry",
  "final_energy_ev_per_cell": -28.0,
  "lattice": [[4.552, 0.000, 0.000], [0.000, 4.552, 0.000], [0.000, 0.000, 2.994]],
  "species": ["V", "V", "Si", "B", "H"],
  "frac_coords": [[0.000, 0.500, 0.000], [0.500, 0.000, 0.000], [0.000, 0.000, 0.000], [0.500, 0.500, 0.500], [0.000, 0.000, 0.500]]
}

{
  "formula": "BaVGa2",
  "functional": "PBE-GGA",
  "state": "optimized geometry",
  "polymorph_energy_ev_per_atom": 0.0858,
  "lattice": [[0.000, 3.654, 3.654], [3.654, 0.000, 3.654], [3.654, 3.654, 0.000]],
  "species": ["Ba", "V", "Ga", "Ga"],
  "frac_coords": [[0.000, 0.000, 0.000], [0.500, 0.500, 0.500], [0.250, 0.250, 0.250], [0.750, 0.750, 0.750]]
}

{
  "formula": "KSiSb2",
  "functional": "PBE-GGA",
  "state": "optimized geometry",
  "raw_formation_energy_ev_per_atom": -0.009,
  "lattice": [[-4.079, 4.079, 3.882], [4.079, -4.079, 3.882], [4.079, 4.079, -3.882]],
  "species": ["K", "K", "Si", "Si", "Sb", "Sb", "Sb", "Sb"],
  "frac_coords": [[0.000, 0.000, 0.000], [0.750, 0.250, 0.500], [0.250, 0.750, 0.500], [0.500, 0.500, 0.000], [0.211, 0.625, 0.086], [0.375, 0.461, 0.586], [0.539, 0.125, 0.914], [0.875, 0.789, 0.414]]
}

{
  "formula": "Ac2In3AgHg4",
  "functional": "PBE-GGA",
  "state": "optimized geometry",
  "final_energy_ev_per_cell": -23.5,
  "lattice": [[4.823, 0.000, 0.000], [0.000, 4.823, 0.000], [0.000, 0.000, 11.808]],
  "species": ["Ac", "Ac", "In", "In", "In", "Ag", "Hg", "Hg", "Hg", "Hg"],
  "frac_coords": [[0.000, 0.500, 0.249], [0.500, 0.000, 0.751], [0.000, 0.500, 0.864], [0.500, 0.000, 0.136], [0.500, 0.500, 0.500], [0.000, 0.000, 0.500], [0.000, 0.000, 0.000], [0.000, 0.500, 0.631], [0.500, 0.000, 0.369], [0.500, 0.500, 0.000]]
}

{
  "formula": "FeW2Br",
  "functional": "PBE-GGA",
  "state": "optimized geometry",
  "raw_formation_energy_ev_per_atom": 1.032,
  "polymorph_energy_ev_per_atom": 0.4698,
  "lattice": [[4.564, 0.000, 0.000], [0.000, 4.564, 0.000], [0.000, 0.000, 2.873]],
  "species": ["Fe", "W", "W", "Br"],
  "frac_coords": [[0.000, 0.000, 0.000], [0.000, 0.500, 0.500], [0.500, 0.000, 0.500], [0.500, 0.500, 0.000]]
}

no.,calculated density (g/cm³)
1,5.6
2,3.8
3,5.6
4,4.0
5,10.3
6,14.0